1.
First-principles (PBE-GGA) data for an optimized crystal structure of BeZnFe2, as listed in the Alexandria database.

a = 2.5367 Å, b = 2.5367 Å, c = 6.8724 Å
α = 90.00°, β = 90.00°, γ = 90.00°
Each line ends with the local moment (μB).
Positions (direct):
Be 0.5000 0.5000 0.7500  -0.08
Zn 0.5000 0.5000 0.2500  -0.04
Fe 0.0000 0.0000 0.9663  2.29
Fe 0.0000 0.0000 0.5337  2.29

## Properties
**Distance to the lowest polymorph of the same formula**: 0.0 kJ/mol of atoms
**Total moment**: 4.5 μB/cell
**Crystal system**: tetragonal
**Energy**: -22.24 eV per formula unit

2.
First-principles (PBE-GGA) data for an optimized crystal structure of Al2Ga2Si, as listed in the Alexandria database.

a = 7.8933 Å, b = 7.8933 Å, c = 2.8270 Å
α = 90.00°, β = 90.00°, γ = 90.00°
Positions (direct):
Si 0.0000 0.0000 0.0000
Si 0.5000 0.5000 0.0000
Al 0.1314 0.6314 0.5000
Al 0.6314 0.8686 0.5000
Al 0.8686 0.3686 0.5000
Al 0.3686 0.1314 0.5000
Ga 0.3328 0.8328 0.0000
Ga 0.8328 0.6672 0.0000
Ga 0.6672 0.1672 0.0000
Ga 0.1672 0.3328 0.0000

## Properties
**Distance to the lowest polymorph of the same formula**: 0.6 kJ/mol of atoms
**Total moment**: 0.0 μB/cell
**Crystal system**: tetragonal
**ΔE_f (raw)**: 0.24 eV/atom
**Energy**: -17.76 eV per formula unit

3.
First-principles (PBE-GGA) data for an optimized crystal structure of BS2I, as listed in the Alexandria database.

a = 11.7650 Å, b = 11.7650 Å, c = 11.7650 Å
α = 15.07°, β = 15.07°, γ = 15.07°
Positions (direct):
I 0.0000 0.0000 0.0000
S 0.8687 0.8687 0.8687
S 0.1313 0.1313 0.1313
B 0.5000 0.5000 0.5000

## Properties
**Distance to the lowest polymorph of the same formula**: 19.0 kJ/mol of atoms
**Total moment**: 0.0 μB/cell
**Crystal system**: trigonal
**ΔE_f (raw)**: 0.48 eV/atom
**Energy**: -14.55 eV per formula unit

4.
First-principles (PBE-GGA) data for an optimized crystal structure of Tb2Ho5ErMg, as listed in the Alexandria database.

a = 5.3762 Å, b = 10.3514 Å, c = 10.3976 Å
α = 90.00°, β = 90.00°, γ = 105.05°
Positions (direct):
Tb 0.8852 0.7704 0.7959
Tb 0.1148 0.2297 0.7210
Tb 0.1148 0.2296 0.2959
Tb 0.8852 0.7703 0.2210
Ho 0.3822 0.7645 0.0084
Ho 0.7109 0.4218 0.8087
Ho 0.4998 0.9996 0.7580
Ho 0.2894 0.5789 0.7079
Ho 0.9862 0.9725 0.5084
Ho 0.6178 0.2355 0.5084
Ho 0.2891 0.5782 0.3087
Ho 0.5002 0.0004 0.2580
Ho 0.7106 0.4211 0.2079
Ho 0.0138 0.0275 0.0084
Er 0.7941 0.5882 0.5084
Er 0.2059 0.4118 0.0084
Mg 0.5954 0.1907 0.0073
Mg 0.4046 0.8093 0.5073

## Properties
**Total moment**: 0.0 μB/cell
**Crystal system**: orthorhombic
**Energy**: -37.37 eV per formula unit